Entry 1:
ZnBAs2: optimized geometry, PBE.

```
data_ZnBAs2
_chemical_formula_sum 'Zn4 B4 As8'
_cell_length_a 5.362
_cell_length_b 5.362
_cell_length_c 10.011
_cell_angle_alpha 90.00
_cell_angle_beta 90.00
_cell_angle_gamma 90.00
_space_group_name_H-M_alt 'I -4 2 d'
_space_group_IT_number 122
_space_group_name_Hall 'I -4 2bw'
loop_
_atom_site_label
_atom_site_fract_x
_atom_site_fract_y
_atom_site_fract_z
_atom_site_occupancy
Zn1 0.000 0.000 0.000 1
B1 0.000 0.000 0.500 1
As1 0.195 0.250 0.625 1
```

Values from the calculation:
E_form (eV per atom): 0.0810
Crystal system: tetragonal

Entry 2:
NaNdInPb: optimized geometry, PBE.

```
data_NaNdInPb
_chemical_formula_sum 'Na4 Nd4 In4 Pb4'
_cell_length_a 7.716
_cell_length_b 7.716
_cell_length_c 7.716
_cell_angle_alpha 90.00
_cell_angle_beta 90.00
_cell_angle_gamma 90.00
_space_group_name_H-M_alt 'F -4 3 m'
_space_group_IT_number 216
_space_group_name_Hall 'F -4 2 3'
loop_
_atom_site_label
_atom_site_fract_x
_atom_site_fract_y
_atom_site_fract_z
_atom_site_occupancy
Na1 0.000 0.000 0.000 1
Nd1 0.000 0.000 0.500 1
In1 0.250 0.250 0.250 1
Pb1 0.250 0.250 0.750 1
```

Values from the calculation:
E_form (eV per atom): -0.2860
Crystal system: cubic

Entry 3:
La2Pm7Nd2: optimized geometry, PBE.

```
data_La2Pm7Nd2
_chemical_formula_sum 'La4 Pm14 Nd4'
_cell_length_a 3.659
_cell_length_b 18.440
_cell_length_c 11.650
_cell_angle_alpha 90.00
_cell_angle_beta 90.00
_cell_angle_gamma 90.00
_space_group_name_H-M_alt 'I m m 2'
_space_group_IT_number 44
_space_group_name_Hall 'I 2 -2'
loop_
_atom_site_label
_atom_site_fract_x
_atom_site_fract_y
_atom_site_fract_z
_atom_site_occupancy
La1 0.000 0.206 0.000 1
Pm1 0.000 0.000 0.035 1
Pm2 0.000 0.127 0.500 1
Pm3 0.000 0.329 0.744 1
Pm4 0.000 0.340 0.263 1
Nd1 0.000 0.000 0.718 1
Nd2 0.000 0.500 0.828 1
```

Values from the calculation:
E_form (eV per atom): 0.1579
Crystal system: orthorhombic

Entry 4:
K4In3RuO8: optimized geometry, PBE.

```
data_K4In3RuO8
_chemical_formula_sum 'K12 In9 Ru3 O24'
_cell_length_a 6.6804
_cell_length_b 6.6804
_cell_length_c 18.2367
_cell_angle_alpha 90.00
_cell_angle_beta 90.00
_cell_angle_gamma 120.00
_space_group_name_H-M_alt 'R -3 m'
_space_group_IT_number 166
_space_group_name_Hall '-R 3 2"'
loop_
_atom_site_label
_atom_site_fract_x
_atom_site_fract_y
_atom_site_fract_z
_atom_site_occupancy
K1 0.0000 0.0000 0.0000 1
K2 0.0000 0.5000 0.0000 1
In1 0.0000 0.5000 0.5000 1
Ru1 0.0000 0.0000 0.5000 1
O1 0.0000 0.0000 0.2299 1
O2 0.0151 0.5075 0.2267 1
```

Values from the calculation:
Crystal system: trigonal
Raw formation energy (eV/atom): -1.4054

Entry 5:
La2PSe5: optimized geometry, PBE.

```
data_La2PSe5
_chemical_formula_sum 'La4 P2 Se10'
_cell_length_a 9.065
_cell_length_b 10.674
_cell_length_c 6.046
_cell_angle_alpha 90.00
_cell_angle_beta 127.16
_cell_angle_gamma 90.00
_space_group_name_H-M_alt 'C 1 m 1'
_space_group_IT_number 8
_space_group_name_Hall 'C -2y'
loop_
_atom_site_label
_atom_site_fract_x
_atom_site_fract_y
_atom_site_fract_z
_atom_site_occupancy
La1 0.000 0.233 0.000 1
P1 0.435 0.000 0.438 1
Se1 0.138 0.000 0.332 1
Se2 0.265 0.500 0.857 1
Se3 0.368 0.000 0.001 1
Se4 0.423 0.243 0.432 1
```

Values from the calculation:
Crystal system: monoclinic
Raw formation energy (eV/atom): -1.1366

Entry 6:
TbCu9Au2: optimized geometry, PBE.

```
data_TbCu9Au2
_chemical_formula_sum 'Tb3 Cu27 Au6'
_cell_length_a 5.0050
_cell_length_b 5.0050
_cell_length_c 23.8576
_cell_angle_alpha 90.00
_cell_angle_beta 90.00
_cell_angle_gamma 120.00
_space_group_name_H-M_alt 'R -3 m'
_space_group_IT_number 166
_space_group_name_Hall '-R 3 2"'
loop_
_atom_site_label
_atom_site_fract_x
_atom_site_fract_y
_atom_site_fract_z
_atom_site_occupancy
Tb1 0.0000 0.0000 0.0000 1
Cu1 0.0000 0.0000 0.3337 1
Cu2 0.0000 0.0000 0.5000 1
Cu3 0.0040 0.5020 0.9149 1
Au1 0.0000 0.0000 0.1414 1
```

Values from the calculation:
E_form (eV per atom): -0.1339
Crystal system: trigonal

Entry 7:
SiIr2Au: optimized geometry, PBE.

```
data_SiIr2Au
_chemical_formula_sum 'Si1 Ir2 Au1'
_cell_length_a 2.745
_cell_length_b 3.712
_cell_length_c 6.153
_cell_angle_alpha 90.00
_cell_angle_beta 90.00
_cell_angle_gamma 90.00
_space_group_name_H-M_alt 'P m m 2'
_space_group_IT_number 25
_space_group_name_Hall 'P 2 -2'
loop_
_atom_site_label
_atom_site_fract_x
_atom_site_fract_y
_atom_site_fract_z
_atom_site_occupancy
Si1 0.000 0.000 0.000 1
Ir1 0.000 0.000 0.599 1
Ir2 0.500 0.500 0.864 1
Au1 0.500 0.500 0.331 1
```

Values from the calculation:
Crystal system: orthorhombic
Raw formation energy (eV/atom): 0.1184

Entry 8:
PaAgSb: optimized geometry, PBE.

```
data_PaAgSb
_chemical_formula_sum 'Pa1 Ag1 Sb1'
_cell_length_a 4.6620
_cell_length_b 4.6620
_cell_length_c 3.9251
_cell_angle_alpha 90.00
_cell_angle_beta 90.00
_cell_angle_gamma 120.00
_space_group_name_H-M_alt 'P 3 m 1'
_space_group_IT_number 156
_space_group_name_Hall 'P 3 -2"'
loop_
_atom_site_label
_atom_site_fract_x
_atom_site_fract_y
_atom_site_fract_z
_atom_site_occupancy
Pa1 0.0000 0.0000 0.0000 1
Ag1 0.6667 0.3333 0.6347 1
Sb1 0.3333 0.6667 0.4646 1
```

Values from the calculation:
Crystal system: trigonal
Raw formation energy (eV/atom): -0.0892

Entry 9:
BaBeRe4: optimized geometry, PBE.

```
data_BaBeRe4
_chemical_formula_sum 'Ba4 Be4 Re16'
_cell_length_a 7.660
_cell_length_b 7.660
_cell_length_c 7.660
_cell_angle_alpha 90.00
_cell_angle_beta 90.00
_cell_angle_gamma 90.00
_space_group_name_H-M_alt 'F -4 3 m'
_space_group_IT_number 216
_space_group_name_Hall 'F -4 2 3'
loop_
_atom_site_label
_atom_site_fract_x
_atom_site_fract_y
_atom_site_fract_z
_atom_site_occupancy
Ba1 0.000 0.000 0.000 1
Be1 0.250 0.250 0.750 1
Re1 0.124 0.124 0.376 1
```

Values from the calculation:
E_form (eV per atom): 1.0616
Crystal system: cubic

Entry 10:
InCu3Mo: optimized geometry, PBE.

```
data_InCu3Mo
_chemical_formula_sum 'In1 Cu3 Mo1'
_cell_length_a 4.744
_cell_length_b 4.744
_cell_length_c 4.744
_cell_angle_alpha 90.00
_cell_angle_beta 90.00
_cell_angle_gamma 90.00
_space_group_name_H-M_alt 'P m -3 m'
_space_group_IT_number 221
_space_group_name_Hall '-P 4 2 3'
loop_
_atom_site_label
_atom_site_fract_x
_atom_site_fract_y
_atom_site_fract_z
_atom_site_occupancy
In1 0.000 0.000 0.000 1
Cu1 0.000 0.500 0.500 1
Mo1 0.500 0.500 0.500 1
```

Values from the calculation:
E_form (eV per atom): 1.3047
Crystal system: cubic

Entry 11:
Ac4CoCl5: optimized geometry, PBE.

```
data_Ac4CoCl5
_chemical_formula_sum 'Ac8 Co2 Cl10'
_cell_length_a 19.432
_cell_length_b 4.249
_cell_length_c 8.944
_cell_angle_alpha 90.00
_cell_angle_beta 92.59
_cell_angle_gamma 90.00
_space_group_name_H-M_alt 'C 1 2/m 1'
_space_group_IT_number 12
_space_group_name_Hall '-C 2y'
loop_
_atom_site_label
_atom_site_fract_x
_atom_site_fract_y
_atom_site_fract_z
_atom_site_occupancy
Ac1 0.004 0.000 0.223 1
Ac2 0.150 0.500 0.001 1
Co1 0.000 0.500 0.000 1
Cl1 0.000 0.500 0.500 1
Cl2 0.154 0.000 0.763 1
Cl3 0.163 0.000 0.239 1
```

Values from the calculation:
Crystal system: monoclinic
Raw formation energy (eV/atom): -1.5918

Entry 12:
CsZnBi4: optimized geometry, PBE.

```
data_CsZnBi4
_chemical_formula_sum 'Cs4 Zn4 Bi16'
_cell_length_a 15.388
_cell_length_b 7.309
_cell_length_c 8.164
_cell_angle_alpha 90.00
_cell_angle_beta 97.50
_cell_angle_gamma 90.00
_space_group_name_H-M_alt 'C 1 2/m 1'
_space_group_IT_number 12
_space_group_name_Hall '-C 2y'
loop_
_atom_site_label
_atom_site_fract_x
_atom_site_fract_y
_atom_site_fract_z
_atom_site_occupancy
Cs1 0.207 0.000 0.326 1
Zn1 0.091 0.500 0.338 1
Bi1 0.000 0.235 0.500 1
Bi2 0.085 0.284 0.902 1
Bi3 0.229 0.500 0.153 1
```

Values from the calculation:
E_form (eV per atom): -0.0820
Crystal system: monoclinic

no.,DFT total energy (eV/cell)
1,-67.7
2,-54.7
3,-101.8
4,-252.1
5,-83.6
6,-149.0
7,-25.9
8,-16.7
9,-196.3
10,-19.3
11,-97.4
12,-72.6